1.
LuScCuRh | PBE | optimized geometry

Summary:
- formation energy from the elements (eV per atom) = -0.6352
- magnetization (μB per formula unit) = 0.001

Lattice parameters (Å, degrees): 6.6335 6.6335 6.6335 90.00 90.00 90.00
Space group F-43m (No. 216)
Asymmetric unit:
Lu 0.0000 0.0000 0.0000
Sc 0.0000 0.0000 0.5000
Cu 0.2500 0.2500 0.2500
Rh 0.2500 0.2500 0.7500

2.
Sm2Be4NiIr3 | PBE | optimized geometry

Summary:
- formation energy from the elements (eV per atom) = -0.5715
- magnetization (μB per formula unit) = 0.000

Lattice parameters (Å, degrees): 3.9596 3.9596 9.4948 90.00 90.00 90.00
Space group P-4m2 (No. 115)
Asymmetric unit:
Sm 0.0000 0.5000 0.2476
Be 0.0000 0.0000 0.5000
Be 0.0000 0.5000 0.8811
Be 0.5000 0.5000 0.5000
Ni 0.5000 0.5000 0.0000
Ir 0.0000 0.0000 0.0000
Ir 0.0000 0.5000 0.6275

3.
Tb2MnBe3Pt4 | PBE | optimized geometry

Summary:
- formation energy from the elements (eV per atom) = -0.8279
- magnetization (μB per formula unit) = 3.778

Lattice parameters (Å, degrees): 3.9902 3.9902 10.1802 90.00 90.00 90.00
Space group P-4m2 (No. 115)
Asymmetric unit:
Tb 0.0000 0.5000 0.2410
Mn 0.0000 0.0000 0.5000
Be 0.0000 0.5000 0.8820
Be 0.5000 0.5000 0.5000
Pt 0.0000 0.0000 0.0000
Pt 0.0000 0.5000 0.6524
Pt 0.5000 0.5000 0.0000

4.
AgTeHN2 | PBE | optimized geometry

Summary:
- magnetization (μB per formula unit) = 3.973
- DFT total energy (eV/atom) = -3.053

Lattice parameters (Å, degrees): 4.0170 4.0170 6.2851 90.00 90.00 90.00
Space group P4/mmm (No. 123)
Asymmetric unit:
Ag 0.0000 0.0000 0.0000
Te 0.0000 0.0000 0.5000
H 0.5000 0.5000 0.5000
N 0.0000 0.5000 0.0000

5.
MnFe3Sb | PBE | optimized geometry

Summary:
- formation energy without anion corrections (eV/atom) = 0.98
- magnetization (μB per formula unit) = 5.281

Lattice parameters (Å, degrees): 4.2928 4.2928 4.2928 90.00 90.00 90.00
Space group Pm-3m (No. 221)
Asymmetric unit:
Mn 0.0000 0.0000 0.0000
Fe 0.0000 0.0000 0.5000
Sb 0.5000 0.5000 0.5000

6.
Ni5H12Pt3 | PBE | optimized geometry

Summary:
- magnetization (μB per formula unit) = 0.000
- DFT total energy (eV/atom) = -4.218

Lattice parameters (Å, degrees): 10.5272 10.5272 10.5272 90.00 90.00 90.00
Space group Ia-3d (No. 230)
Asymmetric unit:
Ni 0.0000 0.0000 0.0000
Ni 0.0000 0.2500 0.3750
H 0.0196 0.0581 0.6508
Pt 0.0000 0.2500 0.1250